No. 1
A relaxed K2CuGeO crystal. Source: Alexandria, functional PBE-GGA.

Uncorrected formation energy   -20.0 kJ per mole of atoms

abc: 5.4788 5.4788 4.1709
angles: 90.00 90.00 90.00
Element x y z (fractional)
1 K 0.0000 0.5000 0.0000
2 K 0.5000 0.0000 0.0000
3 Cu 0.0000 0.0000 0.5000
4 Ge 0.5000 0.5000 0.5000
5 O 0.5000 0.5000 0.0000



No. 2
A relaxed BaB2Se4 crystal. Source: Alexandria, functional PBE-GGA.

Uncorrected formation energy   -64.8 kJ per mole of atoms
Energy above the most stable polymorph in this dataset   0.0000 eV/atom

abc: 6.2697 6.2697 6.2697
angles: 100.95 100.95 128.32
Element x y z (fractional)
1 Ba 0.0000 0.0000 0.0000
2 B 0.2500 0.7500 0.5000
3 B 0.7500 0.2500 0.5000
4 Se 0.1619 0.3877 0.5496
5 Se 0.3877 0.8381 0.2258
6 Se 0.6123 0.1619 0.7742
7 Se 0.8381 0.6123 0.4504



No. 3
A relaxed Pm3Bi4Rh8 crystal. Source: Alexandria, functional PBE-GGA.

Energy   -6.34 eV per atom

abc: 9.4695 9.4695 9.4695
angles: 60.00 60.00 60.00
Element x y z (fractional)
1 Pm 0.2312 0.2312 0.7688
2 Pm 0.2312 0.7688 0.2312
3 Pm 0.2312 0.7688 0.7688
4 Pm 0.7688 0.2312 0.2312
5 Pm 0.7688 0.2312 0.7688
6 Pm 0.7688 0.7688 0.2312
7 Bi 0.0000 0.0000 0.0000
8 Bi 0.0000 0.0000 0.5000
9 Bi 0.0000 0.5000 0.0000
10 Bi 0.0000 0.5000 0.5000
11 Bi 0.5000 0.0000 0.0000
12 Bi 0.5000 0.0000 0.5000
13 Bi 0.5000 0.5000 0.0000
14 Bi 0.5000 0.5000 0.5000
15 Rh 0.1338 0.6221 0.6221
16 Rh 0.1679 0.1679 0.1679
17 Rh 0.1679 0.1679 0.4963
18 Rh 0.1679 0.4963 0.1679
19 Rh 0.3779 0.3779 0.3779
20 Rh 0.3779 0.3779 0.8662
21 Rh 0.3779 0.8662 0.3779
22 Rh 0.4963 0.1679 0.1679
23 Rh 0.5037 0.8321 0.8321
24 Rh 0.6221 0.1338 0.6221
25 Rh 0.6221 0.6221 0.1338
26 Rh 0.6221 0.6221 0.6221
27 Rh 0.8321 0.5037 0.8321
28 Rh 0.8321 0.8321 0.5037
29 Rh 0.8321 0.8321 0.8321
30 Rh 0.8662 0.3779 0.3779



No. 4
A relaxed VGa2CCl crystal. Source: Alexandria, functional PBE-GGA.

Uncorrected formation energy   113.0 kJ per mole of atoms
Energy above the most stable polymorph in this dataset   0.6474 eV/atom

abc: 3.8309 3.8309 6.2581
angles: 90.00 90.00 90.00
Element x y z (fractional)
1 V 0.0000 0.0000 0.0000
2 Ga 0.0000 0.5000 0.5000
3 Ga 0.5000 0.0000 0.5000
4 C 0.5000 0.5000 0.5000
5 Cl 0.5000 0.5000 0.0000



No. 5
A relaxed NiSn2BiPb crystal. Source: Alexandria, functional PBE-GGA.

Energy above the most stable polymorph in this dataset   0.0000 eV/atom

abc: 5.0052 5.0052 5.3856
angles: 90.00 90.00 90.00
Element x y z (fractional)
1 Ni 0.0000 0.0000 0.0000
2 Sn 0.0000 0.5000 0.0000
3 Sn 0.5000 0.0000 0.0000
4 Bi 0.5000 0.5000 0.5000
5 Pb 0.0000 0.0000 0.5000



No. 6
A relaxed LaMg2Au2 crystal. Source: Alexandria, functional PBE-GGA.

Energy above the most stable polymorph in this dataset   0.0418 eV/atom

abc: 4.2410 4.2410 6.5301
angles: 90.00 90.00 90.00
Element x y z (fractional)
1 La 0.0000 0.0000 0.0000
2 Mg 0.0000 0.5000 0.5000
3 Mg 0.5000 0.0000 0.5000
4 Au 0.5000 0.5000 0.2167
5 Au 0.5000 0.5000 0.7833



no.,volume (Å³/cell)
1,125.20
2,174.02
3,600.43
4,91.84
5,134.92
6,117.45